Entry from the Alexandria database: crystalline Sr2TaSbO6 at its relaxed geometry (GGA-PBE).

Values from the calculation:
* ΔE_f (raw): -2.507 eV per atom
* space-group type: P4mm, No. 99
* Fermi-level density of states: 0.0000 states/eV/atom

Cell: 5.1038 5.7524 5.7524 Å, 90.00 90.00 90.00°
With the nearest neighbours (Å) after each atom.
Positions (direct):
O: 0.7176 0.2304 0.7696  1 Ta 1.97
O: 0.7176 0.7696 0.7696  1 Ta 1.97
O: 0.2366 0.0000 0.0000  1 Ta 1.86
O: 0.0416 0.5000 0.5000  1 Sb 1.99
O: 0.7176 0.2304 0.2304  1 Ta 1.97
O: 0.7176 0.7696 0.2304  1 Ta 1.97
Sr: 0.0224 0.0000 0.5000  4 O 2.57
Sr: 0.0224 0.5000 0.0000  4 O 2.57
Ta: 0.6017 0.0000 0.0000  5 O 1.86-1.97
Sb: 0.6516 0.5000 0.5000  5 O 1.99-2.22